{"formula": "Ac2PrDySe5", "functional": "PBE-GGA", "state": "optimized geometry", "cell": [[5.151, 0.000, 0.000], [0.000, 5.151, 0.000], [0.000, 0.000, 11.132]], "species": ["Ac", "Ac", "Pr", "Dy", "Se", "Se", "Se", "Se", "Se"], "fractional_positions": [[0.000, 0.000, 0.211], [0.000, 0.000, 0.789], [0.500, 0.500, 0.500], [0.500, 0.500, 0.000], [0.000, 0.000, 0.500], [0.000, 0.500, 0.000], [0.500, 0.000, 0.000], [0.500, 0.500, 0.250], [0.500, 0.500, 0.750]], "sg": "P4/mmm (123)", "energy_ev_per_atom": -5.387, "n_ef_per_ev_atom": 0.5803, "magnetic_moment_mub_per_cell": 0.000}